1.
# Sm2YHo2Sc | Alexandria | GGA-PBE | relaxed
# Energy relative to the elements   120 meV/atom
data_Sm2YHo2Sc
_space_group_name_H-M_alt 'P 1 21/m 1'
_space_group_IT_number 11
_cell_length_a 6.410
_cell_length_b 6.945
_cell_length_c 8.781
_cell_angle_alpha 90.00
_cell_angle_beta 104.29
_cell_angle_gamma 90.00
loop_
_space_group_symop_operation_xyz
'x,y,z'
'-x,-y,-z'
'-x,y+1/2,-z'
'x,-y+1/2,z'
loop_
_atom_site_label
_atom_site_type_symbol
_atom_site_fract_x
_atom_site_fract_y
_atom_site_fract_z
Sm1 Sm 0.149 0.250 0.350
Sm2 Sm 0.208 0.750 0.993
Y1 Y 0.104 0.750 0.350
Ho1 Ho 0.398 0.001 0.696
Sc1 Sc 0.298 0.250 0.998

2.
# SrPm3Nd4Te8 | Alexandria | GGA-PBE | relaxed
# Energy relative to the elements, uncorrected   -138.9 kJ/mol of atoms
data_SrPm3Nd4Te8
_space_group_name_H-M_alt 'R -3 m'
_space_group_IT_number 166
_space_group_name_Hall '-R 3 2"'
_cell_length_a 9.0184
_cell_length_b 9.0184
_cell_length_c 22.1153
_cell_angle_alpha 90.00
_cell_angle_beta 90.00
_cell_angle_gamma 120.00
loop_
_atom_site_label
_atom_site_type_symbol
_atom_site_fract_x
_atom_site_fract_y
_atom_site_fract_z
Sr1 Sr 0.0000 0.0000 0.0000
Pm1 Pm 0.0000 0.5000 0.0000
Nd1 Nd 0.0000 0.0000 0.5000
Nd2 Nd 0.0000 0.5000 0.5000
Te1 Te 0.0000 0.0000 0.2509
Te2 Te 0.0036 0.5018 0.2500

3.
# LaAlRe2 | Alexandria | GGA-PBE | relaxed
# Energy relative to the elements   815 meV/atom
data_LaAlRe2
_space_group_name_H-M_alt 'I -4 2 d'
_space_group_IT_number 122
_space_group_name_Hall 'I -4 2bw'
_cell_length_a 7.701
_cell_length_b 7.701
_cell_length_c 5.450
_cell_angle_alpha 90.00
_cell_angle_beta 90.00
_cell_angle_gamma 90.00
loop_
_atom_site_label
_atom_site_type_symbol
_atom_site_fract_x
_atom_site_fract_y
_atom_site_fract_z
La1 La 0.000 0.000 0.000
Al1 Al 0.000 0.000 0.500
Re1 Re 0.192 0.250 0.625

4.
# Nd2NbGe3Ir4 | Alexandria | GGA-PBE | relaxed
# Energy relative to the elements   -743 meV/atom
data_Nd2NbGe3Ir4
_space_group_name_H-M_alt 'P -4 m 2'
_space_group_IT_number 115
_cell_length_a 4.215
_cell_length_b 4.215
_cell_length_c 10.723
_cell_angle_alpha 90.00
_cell_angle_beta 90.00
_cell_angle_gamma 90.00
loop_
_space_group_symop_operation_xyz
'x,y,z'
'y,-x,-z'
'-x,-y,z'
'-y,x,-z'
'-x,y,z'
'-y,-x,-z'
'x,-y,z'
'y,x,-z'
loop_
_atom_site_label
_atom_site_type_symbol
_atom_site_fract_x
_atom_site_fract_y
_atom_site_fract_z
Nd1 Nd 0.000 0.500 0.240
Nb1 Nb 0.000 0.000 0.500
Ge1 Ge 0.000 0.500 0.872
Ge2 Ge 0.500 0.500 0.500
Ir1 Ir 0.000 0.000 0.000
Ir2 Ir 0.000 0.500 0.640
Ir3 Ir 0.500 0.500 0.000

5.
# Tm5Sn2Pb2 | Alexandria | GGA-PBE | relaxed
# Energy relative to the elements   -605 meV/atom
data_Tm5Sn2Pb2
_space_group_name_H-M_alt 'C m c e'
_space_group_IT_number 64
_space_group_name_Hall '-C 2ac 2'
_cell_length_a 15.410
_cell_length_b 8.103
_cell_length_c 8.083
_cell_angle_alpha 90.00
_cell_angle_beta 90.00
_cell_angle_gamma 90.00
loop_
_atom_site_label
_atom_site_type_symbol
_atom_site_fract_x
_atom_site_fract_y
_atom_site_fract_z
Tm1 Tm 0.000 0.000 0.000
Tm2 Tm 0.134 0.168 0.333
Sn1 Sn 0.000 0.136 0.636
Pb1 Pb 0.207 0.000 0.000

6.
# CuHg2Os | Alexandria | GGA-PBE | relaxed
# Energy relative to the elements   639 meV/atom
data_CuHg2Os
_space_group_name_H-M_alt 'C m m 2'
_space_group_IT_number 35
_cell_length_a 2.926
_cell_length_b 4.957
_cell_length_c 9.894
_cell_angle_alpha 90.00
_cell_angle_beta 90.00
_cell_angle_gamma 90.00
loop_
_space_group_symop_operation_xyz
'x,y,z'
'-x,-y,z'
'-x,y,z'
'x,-y,z'
'x+1/2,y+1/2,z'
'-x+1/2,-y+1/2,z'
'-x+1/2,y+1/2,z'
'x+1/2,-y+1/2,z'
loop_
_atom_site_label
_atom_site_type_symbol
_atom_site_fract_x
_atom_site_fract_y
_atom_site_fract_z
Cu1 Cu 0.000 0.000 0.000
Hg1 Hg 0.000 0.000 0.534
Hg2 Hg 0.000 0.500 0.238
Os1 Os 0.000 0.500 0.792